# Sr2HgN

A relaxed Sr2HgN crystal (PBE-GGA, Alexandria via LeMat-Bulk).

The calculation puts the raw total energy at -3.523 eV/atom. The energy above the most stable polymorph in this dataset comes out at 0.0022 eV per atom. The calculation puts the uncorrected formation energy at -0.525 eV per atom. As for the magnetic moment: 0.0 μB/cell.

```
data_Sr2HgN
_chemical_formula_sum 'Sr6 Hg3 N3'
_symmetry_space_group_name_H-M 'R 3 m'
_symmetry_Int_Tables_number 160
_symmetry_space_group_name_Hall 'R 3 -2"'
_cell_length_a 3.8397
_cell_length_b 3.8397
_cell_length_c 25.4803
_cell_angle_alpha 90.00
_cell_angle_beta 90.00
_cell_angle_gamma 120.00
loop_
_atom_site_label
_atom_site_fract_x
_atom_site_fract_y
_atom_site_fract_z
Sr1 0.0000 0.0000 0.0000
Sr2 0.0000 0.0000 0.2251
Hg1 0.0000 0.0000 0.7798
N1 0.0000 0.0000 0.6130
```



# SrHgN3

A relaxed SrHgN3 crystal (PBE-GGA, Alexandria via LeMat-Bulk).

The calculation puts the raw total energy at -3.917 eV/atom. The calculation puts the uncorrected formation energy at 1.475 eV per atom. As for the magnetic moment: 3.0 μB/cell.

```
data_SrHgN3
_chemical_formula_sum 'Sr1 Hg1 N3'
_symmetry_space_group_name_H-M 'P m -3 m'
_symmetry_Int_Tables_number 221
_symmetry_space_group_name_Hall '-P 4 2 3'
_cell_length_a 4.3181
_cell_length_b 4.3181
_cell_length_c 4.3181
_cell_angle_alpha 90.00
_cell_angle_beta 90.00
_cell_angle_gamma 90.00
loop_
_atom_site_label
_atom_site_fract_x
_atom_site_fract_y
_atom_site_fract_z
Sr1 0.0000 0.0000 0.0000
Hg1 0.5000 0.5000 0.5000
N1 0.0000 0.5000 0.5000
```



# Sr2HgN

A relaxed Sr2HgN crystal (PBE-GGA, Alexandria via LeMat-Bulk).

The calculation puts the raw total energy at -3.525 eV/atom. The energy above the most stable polymorph in this dataset comes out at 0.0000 eV per atom. The calculation puts the uncorrected formation energy at -0.528 eV per atom. As for the magnetic moment: 0.0 μB/cell.

```
data_Sr2HgN
_chemical_formula_sum 'Sr6 Hg3 N3'
_symmetry_space_group_name_H-M 'R -3 m'
_symmetry_Int_Tables_number 166
_symmetry_space_group_name_Hall '-R 3 2"'
_cell_length_a 3.8244
_cell_length_b 3.8244
_cell_length_c 25.7861
_cell_angle_alpha 90.00
_cell_angle_beta 90.00
_cell_angle_gamma 120.00
loop_
_atom_site_label
_atom_site_fract_x
_atom_site_fract_y
_atom_site_fract_z
Sr1 0.0000 0.0000 0.2203
Hg1 0.0000 0.0000 0.0000
N1 0.0000 0.0000 0.5000
```



# Sr12Hg3N5

A relaxed Sr12Hg3N5 crystal (PBE-GGA, Alexandria via LeMat-Bulk).

The calculation puts the raw total energy at -3.541 eV/atom. The calculation puts the uncorrected formation energy at -0.405 eV per atom. As for the magnetic moment: 0.0 μB/cell.

```
data_Sr12Hg3N5
_chemical_formula_sum 'Sr96 Hg24 N40'
_symmetry_space_group_name_H-M 'I a -3 d'
_symmetry_Int_Tables_number 230
_symmetry_space_group_name_Hall '-I 4bd 2c 3'
_cell_length_a 17.0994
_cell_length_b 17.0994
_cell_length_c 17.0994
_cell_angle_alpha 90.00
_cell_angle_beta 90.00
_cell_angle_gamma 90.00
loop_
_atom_site_label
_atom_site_fract_x
_atom_site_fract_y
_atom_site_fract_z
Sr1 0.0359 0.0459 0.6478
Hg1 0.0000 0.2500 0.1250
N1 0.0000 0.0000 0.0000
N2 0.0000 0.2500 0.3750
```



# Sr8HgN4

A relaxed Sr8HgN4 crystal (PBE-GGA, Alexandria via LeMat-Bulk).

The calculation puts the raw total energy at -4.044 eV/atom. The energy above the most stable polymorph in this dataset comes out at 0.0648 eV per atom. The calculation puts the uncorrected formation energy at -0.424 eV per atom. As for the magnetic moment: 7.9 μB/cell.

```
data_Sr8HgN4
_chemical_formula_sum 'Sr32 Hg4 N16'
_symmetry_space_group_name_H-M 'F -4 3 m'
_symmetry_Int_Tables_number 216
_symmetry_space_group_name_Hall 'F -4 2 3'
_cell_length_a 11.5271
_cell_length_b 11.5271
_cell_length_c 11.5271
_cell_angle_alpha 90.00
_cell_angle_beta 90.00
_cell_angle_gamma 90.00
loop_
_atom_site_label
_atom_site_fract_x
_atom_site_fract_y
_atom_site_fract_z
Sr1 0.1025 0.1025 0.1025
Sr2 0.1415 0.1415 0.6415
Hg1 0.2500 0.2500 0.2500
N1 0.1260 0.1260 0.8740
```



# Sr6HgN2

A relaxed Sr6HgN2 crystal (PBE-GGA, Alexandria via LeMat-Bulk).

The calculation puts the raw total energy at -3.403 eV/atom. The calculation puts the uncorrected formation energy at -0.398 eV per atom. As for the magnetic moment: 0.0 μB/cell.

```
data_Sr6HgN2
_chemical_formula_sum 'Sr12 Hg2 N4'
_symmetry_space_group_name_H-M 'C 1 2/m 1'
_symmetry_Int_Tables_number 12
_symmetry_space_group_name_Hall '-C 2y'
_cell_length_a 14.8199
_cell_length_b 4.7410
_cell_length_c 9.9320
_cell_angle_alpha 90.00
_cell_angle_beta 100.21
_cell_angle_gamma 90.00
loop_
_atom_site_label
_atom_site_fract_x
_atom_site_fract_y
_atom_site_fract_z
Sr1 0.0986 0.0000 0.2223
Sr2 0.1526 0.5000 0.6121
Sr3 0.1970 0.0000 0.8928
Hg1 0.0000 0.0000 0.5000
N1 0.2468 0.0000 0.1578
```



# Sr6Hg2N

A relaxed Sr6Hg2N crystal (PBE-GGA, Alexandria via LeMat-Bulk).

The calculation puts the raw total energy at -2.468 eV/atom. The energy above the most stable polymorph in this dataset comes out at 0.0784 eV per atom. The calculation puts the uncorrected formation energy at -0.355 eV per atom. As for the magnetic moment: 0.0 μB/cell.

```
data_Sr6Hg2N
_chemical_formula_sum 'Sr12 Hg4 N2'
_symmetry_space_group_name_H-M 'P 42/m n m'
_symmetry_Int_Tables_number 136
_symmetry_space_group_name_Hall '-P 4n 2n'
_cell_length_a 7.3169
_cell_length_b 7.3169
_cell_length_c 13.2117
_cell_angle_alpha 90.00
_cell_angle_beta 90.00
_cell_angle_gamma 90.00
loop_
_atom_site_label
_atom_site_fract_x
_atom_site_fract_y
_atom_site_fract_z
Sr1 0.1852 0.1852 0.1465
Sr2 0.2481 0.2481 0.5000
Hg1 0.0000 0.0000 0.3480
N1 0.0000 0.0000 0.0000
```



# Sr12Hg5N2

A relaxed Sr12Hg5N2 crystal (PBE-GGA, Alexandria via LeMat-Bulk).

The calculation puts the raw total energy at -2.393 eV/atom. The calculation puts the uncorrected formation energy at -0.375 eV per atom. As for the magnetic moment: 0.0 μB/cell.

```
data_Sr12Hg5N2
_chemical_formula_sum 'Sr24 Hg10 N4'
_symmetry_space_group_name_H-M 'C 1 2/m 1'
_symmetry_Int_Tables_number 12
_symmetry_space_group_name_Hall '-C 2y'
_cell_length_a 17.8659
_cell_length_b 8.3198
_cell_length_c 10.0985
_cell_angle_alpha 90.00
_cell_angle_beta 105.61
_cell_angle_gamma 90.00
loop_
_atom_site_label
_atom_site_fract_x
_atom_site_fract_y
_atom_site_fract_z
Sr1 0.0012 0.0000 0.3173
Sr2 0.0030 0.5000 0.3276
Sr3 0.1462 0.2504 0.0691
Sr4 0.1506 0.2449 0.5772
Hg1 0.0000 0.5000 0.0000
Hg2 0.1969 0.0000 0.3413
Hg3 0.1979 0.0000 0.8519
N1 0.0000 0.2600 0.5000
```



# Sr4Hg2N

A relaxed Sr4Hg2N crystal (PBE-GGA, Alexandria via LeMat-Bulk).

The calculation puts the raw total energy at -2.682 eV/atom. The energy above the most stable polymorph in this dataset comes out at 0.0090 eV per atom. The calculation puts the uncorrected formation energy at -0.446 eV per atom. As for the magnetic moment: 0.0 μB/cell.

```
data_Sr4Hg2N
_chemical_formula_sum 'Sr8 Hg4 N2'
_symmetry_space_group_name_H-M 'P 1 21/m 1'
_symmetry_Int_Tables_number 11
_symmetry_space_group_name_Hall '-P 2yb'
_cell_length_a 7.2324
_cell_length_b 7.6931
_cell_length_c 9.6605
_cell_angle_alpha 90.00
_cell_angle_beta 109.13
_cell_angle_gamma 90.00
loop_
_atom_site_label
_atom_site_fract_x
_atom_site_fract_y
_atom_site_fract_z
Sr1 0.0100 0.0119 0.2328
Sr2 0.3823 0.2500 0.5583
Sr3 0.4282 0.2500 0.1499
Hg1 0.1777 0.7500 0.5379
Hg2 0.2878 0.7500 0.0764
N1 0.2270 0.2500 0.3010
```



# Sr7Hg2N2

A relaxed Sr7Hg2N2 crystal (PBE-GGA, Alexandria via LeMat-Bulk).

The calculation puts the raw total energy at -2.952 eV/atom. The calculation puts the uncorrected formation energy at -0.314 eV per atom. As for the magnetic moment: 0.0 μB/cell.

```
data_Sr7Hg2N2
_chemical_formula_sum 'Sr14 Hg4 N4'
_symmetry_space_group_name_H-M 'C m m m'
_symmetry_Int_Tables_number 65
_symmetry_space_group_name_Hall '-C 2 2'
_cell_length_a 7.9923
_cell_length_b 11.8803
_cell_length_c 7.1772
_cell_angle_alpha 90.00
_cell_angle_beta 90.00
_cell_angle_gamma 90.00
loop_
_atom_site_label
_atom_site_fract_x
_atom_site_fract_y
_atom_site_fract_z
Sr1 0.0000 0.0000 0.0000
Sr2 0.0000 0.5000 0.2197
Sr3 0.2500 0.2500 0.2325
Hg1 0.1795 0.0000 0.5000
N1 0.0000 0.3127 0.0000
```